# 1
## LiAg2ICl6 (PBE)

Data for an optimized crystal structure of LiAg2ICl6.

Results
- Raw total energy: -2.613 eV/atom
- Total magnetic moment: 0.00 μB/cell
- Raw formation energy: -589 meV per atom

abc: 6.8527 7.0322 7.4097
angles: 87.64 65.79 67.55
Closest atoms and distances in Å follow each position.
Space group P1 (No. 1)
Unique sites:
Li 0.0000 0.0000 0.0000 x1  4 Cl 2.37-2.51
Ag 0.3769 0.3923 0.0012 x1  4 Cl 2.54-2.83
Ag 0.4130 0.8790 0.3409 x1  4 Cl 2.54-2.67
I 0.9386 0.5415 0.6581 x1  4 Cl 2.46-2.73
Cl 0.1445 0.2741 0.8671 x1  1 Li 2.48, 1 Ag 2.57, 1 I 2.73
Cl 0.1449 0.7801 0.6768 x1  1 Li 2.51, 1 I 2.61, 1 Ag 2.67
Cl 0.2880 0.7697 0.0955 x1  1 Li 2.37, 2 Ag 2.54-2.55
Cl 0.5861 0.1393 0.1863 x1  1 Li 2.38, 2 Ag 2.54-2.56
Cl 0.7268 0.7906 0.4860 x1  1 I 2.49, 1 Ag 2.64
Cl 0.7673 0.3012 0.6269 x1  1 I 2.46

---

# 2
## AcHfSc2 (PBE)

Data for an optimized crystal structure of AcHfSc2.

Results
- Raw total energy: -6.503 eV/atom
- Total magnetic moment: 0.00 μB/cell
- Polymorph energy (0 for the lowest one): 0.000 eV per atom
- DFT formation energy: 178.7 meV/atom

abc: 3.8637 3.8637 7.5421
angles: 90.00 90.00 90.00
Closest atoms and distances in Å follow each position.
Space group P4/mmm (No. 123)
Unique sites:
Ac 0.0000 0.0000 0.0000 x1  8 Sc 3.53, 2 Hf 3.77, 4 Ac 3.86
Hf 0.0000 0.0000 0.5000 x1  8 Sc 3.13
Sc 0.5000 0.5000 0.2970 x2  1 Sc 3.06, 4 Hf 3.13

---

# 3
## Ce8AlIn2 (PBE)

Data for an optimized crystal structure of Ce8AlIn2.

Results
- Raw total energy: -5.342 eV/atom
- Total magnetic moment: 2.68 μB/cell
- Polymorph energy (0 for the lowest one): 0.000 eV per atom
- DFT formation energy: -188.5 meV/atom

abc: 16.1347 5.0606 7.3680
angles: 90.00 109.66 90.00
Closest atoms and distances in Å follow each position.
Space group C2/m (No. 12)
Unique sites:
Ce 0.0494 0.0000 0.2758 x4  2 Ce 2.73-2.96
Ce 0.0814 0.5000 0.9813 x4  2 Ce 2.73-2.89
Ce 0.1242 0.0000 0.6685 x4  2 Ce 2.73-2.96
Ce 0.1739 0.5000 0.3920 x4  3 Ce 2.89-3.16, 1 Al 3.16
Al 0.0000 0.5000 0.5000 x2  12 Ce 3.16-3.34
In 0.2295 0.0000 0.1385 x4  10 Ce 3.28-3.45, 2 In 3.45

---

# 4
## TbZnP2Ir5 (PBE)

Data for an optimized crystal structure of TbZnP2Ir5.

Results
- Raw total energy: -7.161 eV/atom
- Total magnetic moment: 0.00 μB/cell
- DFT formation energy: -380.4 meV/atom

abc: 4.0327 4.0327 9.8960
angles: 90.00 90.00 90.00
Closest atoms and distances in Å follow each position.
Space group P4/mmm (No. 123)
Unique sites:
Tb 0.0000 0.0000 0.0000 x1  4 Ir 2.85
Zn 0.0000 0.0000 0.5000 x1  8 Ir 2.57
P 0.5000 0.5000 0.2299 x2  5 Ir 2.28-2.29
Ir 0.0000 0.5000 0.3390 x4  2 P 2.29
Ir 0.5000 0.5000 0.0000 x1  2 P 2.28

---

# 5
## Sm3HPbSe (PBE)

Data for an optimized crystal structure of Sm3HPbSe.

Results
- Raw total energy: -5.065 eV/atom
- Total magnetic moment: 0.00 μB/cell

abc: 8.3925 4.2869 8.8206
angles: 90.00 98.64 90.00
Closest atoms and distances in Å follow each position.
Space group P2_1/m (No. 11)
Unique sites:
Sm 0.0830 0.2500 0.3206 x2  3 Se 2.91-2.93, 2 Pb 3.19
Sm 0.3260 0.2500 0.9667 x2  3 H 2.34-2.36
Sm 0.3861 0.7500 0.6282 x2  1 H 2.38
H 0.4106 0.7500 0.9011 x2  4 Sm 2.34-2.38
Pb 0.3426 0.7500 0.2485 x2  7 Sm 3.19-3.31, 3 H 3.20-3.38
Se 0.1498 0.2500 0.6535 x2  6 Sm 2.91-2.95

---

# 6
## CdAsPH (PBE)

Data for an optimized crystal structure of CdAsPH.

Results
- Raw total energy: -3.421 eV/atom
- Total magnetic moment: 0.00 μB/cell
- Polymorph energy (0 for the lowest one): 0.101 eV per atom

abc: 4.3852 4.3860 5.7188
angles: 108.22 110.34 90.40
Closest atoms and distances in Å follow each position.
Space group P1 (No. 1)
Unique sites:
Cd 0.0000 0.0000 0.0000 x1  2 P 2.54-2.59, 1 As 2.70
As 0.7316 0.6558 0.4779 x1  1 H 1.55
P 0.1310 0.6008 0.2623 x1  2 As 2.44-2.46, 2 Cd 2.54-2.59
H 0.7435 0.3193 0.5127 x1  1 As 1.55

---

# 7
## ScIn6S8 (PBE)

Data for an optimized crystal structure of ScIn6S8.

Results
- Raw total energy: -4.159 eV/atom
- Total magnetic moment: 0.00 μB/cell
- Raw formation energy: -440 meV per atom

abc: 10.4916 10.4916 11.1006
angles: 90.00 90.00 120.00
Closest atoms and distances in Å follow each position.
Space group R-3 (No. 148, hexagonal axes)
Unique sites:
Sc 0.0000 0.0000 0.0000 x3  8 S 2.80-2.88
In 0.0503 0.8242 0.6077 x18  3 S 2.55-2.66
S 0.0000 0.0000 0.2522 x6  3 In 2.66, 1 Sc 2.80
S 0.0082 0.7496 0.0970 x18  2 In 2.55-2.58

---

# 8
## Ba2CdTc (PBE)

Data for an optimized crystal structure of Ba2CdTc.

Results
- Raw total energy: -3.092 eV/atom
- Total magnetic moment: 3.26 μB/cell
- Polymorph energy (0 for the lowest one): 0.240 eV per atom
- DFT formation energy: 689.6 meV/atom

abc: 8.1412 3.5932 9.7807
angles: 90.00 97.76 90.00
Closest atoms and distances in Å follow each position.
Space group C2/m (No. 12)
Unique sites:
Ba 0.2449 0.0000 0.2140 x4  3 Tc 3.14-3.23
Cd 0.0000 0.0000 0.5000 x2  2 Cd 3.59, 6 Ba 3.65-3.71
Tc 0.0000 0.5000 0.0000 x2  6 Ba 3.14-3.23

---

# 9
## K2ZnTc (PBE)

Data for an optimized crystal structure of K2ZnTc.

Results
- Raw total energy: -2.388 eV/atom
- Total magnetic moment: 2.19 μB/cell
- DFT formation energy: 1071.0 meV/atom

abc: 2.9878 2.9878 35.9984
angles: 90.00 90.00 120.00
Closest atoms and distances in Å follow each position.
Space group R-3m (No. 166, hexagonal axes)
Unique sites:
K 0.0000 0.0000 0.2463 x6  6 K 2.99
Zn 0.0000 0.0000 0.0000 x3  6 Zn 2.99
Tc 0.0000 0.0000 0.5000 x3  6 Tc 2.99

---

# 10
## Na3B2Cl2O4 (PBE)

Data for an optimized crystal structure of Na3B2Cl2O4.

Results
- Raw total energy: -4.788 eV/atom
- Total magnetic moment: 0.65 μB/cell
- Raw formation energy: -1076 meV per atom

abc: 3.3171 3.3171 24.4577
angles: 90.00 90.00 90.00
Closest atoms and distances in Å follow each position.
Space group I4/mmm (No. 139)
Unique sites:
Na 0.0000 0.0000 0.0000 x2  8 O 2.43
Na 0.0000 0.0000 0.1425 x4  4 O 2.38, 4 Cl 2.51
B 0.0000 0.0000 0.4158 x4  4 O 1.68
Cl 0.0000 0.0000 0.3214 x4  1 B 2.31, 4 Na 2.51
O 0.0000 0.5000 0.0726 x8  2 B 1.68

---

# 11
## Ba3C4 (PBE)

Data for an optimized crystal structure of Ba3C4.

Results
- Raw total energy: -3.762 eV/atom
- Total magnetic moment: 10.00 μB/cell
- Polymorph energy (0 for the lowest one): 1.014 eV per atom
- DFT formation energy: 2333.1 meV/atom

abc: 6.6506 6.6506 6.6506
angles: 90.00 90.00 90.00
Closest atoms and distances in Å follow each position.
Space group P-43m (No. 215)
Unique sites:
Ba 0.0000 0.0000 0.5000 x3  4 C 2.78
C 0.2204 0.2204 0.2204 x4  3 Ba 2.78

---

# 12
## La2Tb3Nd2 (PBE)

Data for an optimized crystal structure of La2Tb3Nd2.

Results
- Raw total energy: -4.635 eV/atom
- Total magnetic moment: 0.00 μB/cell
- Polymorph energy (0 for the lowest one): 0.099 eV per atom
- DFT formation energy: 119.4 meV/atom

abc: 17.9210 3.5472 8.7611
angles: 90.00 119.04 90.00
Closest atoms and distances in Å follow each position.
Space group C2/m (No. 12)
Unique sites:
La 0.0664 0.0000 0.4118 x4  3 La 3.41-3.55, 5 Tb 3.51-3.66, 2 Nd 3.75
Tb 0.0000 0.5000 0.0000 x2  4 Tb 3.43-3.55, 2 Nd 3.60, 4 La 3.66
Tb 0.2126 0.5000 0.3022 x4  5 Tb 3.43-3.55, 3 La 3.51-3.66, 3 Nd 3.64-3.70
Nd 0.1512 0.5000 0.8411 x4  4 Nd 3.55-3.72, 4 Tb 3.60-3.70, 4 La 3.75-3.86